# 1
The following is a DFT calculation (meta-GGA SCAN) of a PBEsol-optimized structure of AlPtSe.

## Properties
Space-group type: P3m1 (156)
ΔE_f (raw): -425 meV per atom

Cell: 3.4536 3.4536 5.0480 Å, 90.00 90.00 120.00°
Last column: nearest neighbours and their distance in Å.
Fractional coordinates of all 3 atoms:
Se  0.3333  0.6667  0.3334  3 Pt 2.67, 3 Al 2.67
Al  0.0000  0.0000  0.9823  3 Pt 2.50, 3 Se 2.67
Pt  0.6667  0.3333  0.6843  3 Al 2.50, 3 Se 2.67

---

# 2
The following is a DFT calculation (meta-GGA SCAN) of a PBEsol-optimized structure of BaCa2Zn.

## Properties
Space-group type: P4/mmm (123)
Formation energy from the elements: -97 meV per atom

Cell: 3.7471 3.7471 10.0226 Å, 90.00 90.00 90.00°
Last column: nearest neighbours and their distance in Å.
Fractional coordinates of all 4 atoms:
Ca  0.0000  0.0000  0.8273  4 Zn 3.16, 1 Ca 3.46
Ba  0.5000  0.5000  0.5000  4 Ba 3.75
Ca  0.0000  0.0000  0.1727  4 Zn 3.16, 1 Ca 3.46
Zn  0.5000  0.5000  0.0000  8 Ca 3.16

---

# 3
The following is a DFT calculation (meta-GGA SCAN) of a PBEsol-optimized structure of CsK2Na2.

## Properties
Space-group type: I4/mmm (139)
Formation energy from the elements: 81 meV per atom
Energy relative to the lowest polymorph listed for this composition: 0.065 eV/atom

Cell: 6.8756 6.8756 8.5580 Å, 113.68 113.68 90.00°
Last column: nearest neighbours and their distance in Å.
Fractional coordinates of all 5 atoms:
Na  0.7500  0.2500  0.5000  4 K 3.76
Na  0.2500  0.7500  0.5000  4 K 3.76
K  0.6414  0.6414  0.2827  4 Na 3.76, 1 K 3.98
K  0.3586  0.3586  0.7173  4 Na 3.76, 1 K 3.98
Cs  0.0000  0.0000  0.0000  8 Na 4.92, 10 K 5.05-5.25

---

# 4
The following is a DFT calculation (meta-GGA SCAN) of a PBEsol-optimized structure of YZr2P.

## Properties
Space-group type: R3m (160)
Formation energy from the elements: -646 meV per atom

Cell: 3.5073 3.5073 8.7539 Å, 78.44 78.44 60.00°
Last column: nearest neighbours and their distance in Å.
Fractional coordinates of all 4 atoms:
Y  0.2312  0.2312  0.3063  3 P 2.69
Zr  0.0063  0.0063  0.9812  9 Zr 3.15-3.51, 3 Y 3.43
P  0.4951  0.4951  0.5147  3 Zr 2.56, 3 Y 2.69
Zr  0.7674  0.7674  0.6977  3 P 2.56

---

# 5
The following is a DFT calculation (meta-GGA SCAN) of a PBEsol-optimized structure of MgBiI2N.

## Properties
Space-group type: P4/mmm (123)
ΔE_f (raw): 642 meV per atom
Energy relative to the lowest polymorph listed for this composition: 0.358 eV/atom

Cell: 4.1604 6.2413 6.2413 Å, 90.00 90.00 90.00°
Last column: nearest neighbours and their distance in Å.
Fractional coordinates of all 5 atoms:
Bi  0.0000  0.0000  0.0000  2 N 2.08
N  0.5000  0.0000  0.0000  2 Bi 2.08
Mg  0.5000  0.5000  0.5000  8 I 3.75, 2 Mg 4.16
I  0.0000  0.5000  0.0000  2 Bi 3.12
I  0.0000  0.0000  0.5000  2 Bi 3.12

---

# 6
The following is a DFT calculation (meta-GGA SCAN) of a PBEsol-optimized structure of HfTaSe2Br.

## Properties
Space-group type: P4/mmm (123)
ΔE_f (raw): 369 meV per atom
Energy relative to the lowest polymorph listed for this composition: 0.000 eV/atom

Cell: 4.9804 5.0967 5.0967 Å, 90.00 90.00 90.00°
Last column: nearest neighbours and their distance in Å.
Fractional coordinates of all 5 atoms:
Hf  0.0000  0.0000  0.0000  2 Br 2.49, 4 Se 2.55
Se  0.0000  0.5000  0.0000  2 Hf 2.55
Ta  0.5000  0.5000  0.5000  8 Se 3.56, 4 Br 3.60
Se  0.0000  0.0000  0.5000  2 Hf 2.55
Br  0.5000  0.0000  0.0000  2 Hf 2.49

---

What is the formula in the first record?
AlPtSe

---

Which formula does entry 4 have?
YZr2P